# AlFeAu, single point on PBEsol structure, DFT SCAN
data_AlFeAu
_chemical_formula_sum 'Al1 Fe1 Au1'
_symmetry_space_group_name_H-M 'P 1'
_symmetry_Int_Tables_number 1
_cell_length_a 2.789
_cell_length_b 2.789
_cell_length_c 6.360
_cell_angle_alpha 90.00
_cell_angle_beta 90.00
_cell_angle_gamma 120.00
loop_
_symmetry_equiv_pos_as_xyz
'x,y,z'
loop_
_atom_site_label
_atom_site_type_symbol
_atom_site_fract_x
_atom_site_fract_y
_atom_site_fract_z
Al1 Al 0.000 0.000 0.016
Fe1 Fe 0.333 0.667 0.319
Au1 Au 0.667 0.333 0.664
# **SG**: P3m1 (156)
# **E**: -31.789 eV/atom



# YCd2Se, single point on PBEsol structure, DFT SCAN
data_YCd2Se
_chemical_formula_sum 'Y1 Cd2 Se1'
_symmetry_space_group_name_H-M 'P 1'
_symmetry_Int_Tables_number 1
_cell_length_a 4.446
_cell_length_b 4.446
_cell_length_c 5.513
_cell_angle_alpha 113.78
_cell_angle_beta 113.78
_cell_angle_gamma 90.00
loop_
_symmetry_equiv_pos_as_xyz
'x,y,z'
loop_
_atom_site_label
_atom_site_type_symbol
_atom_site_fract_x
_atom_site_fract_y
_atom_site_fract_z
Se1 Se 0.500 0.500 0.000
Cd1 Cd 0.000 0.000 0.000
Y1 Y 0.250 0.750 0.500
Cd2 Cd 0.750 0.250 0.500
# **SG**: I-4m2 (119)
# **Formation energy (no corrections)**: -0.60 eV per atom



# FeMoC3, single point on PBEsol structure, DFT SCAN
data_FeMoC3
_chemical_formula_sum 'Fe1 Mo1 C3'
_symmetry_space_group_name_H-M 'P 1'
_symmetry_Int_Tables_number 1
_cell_length_a 3.990
_cell_length_b 3.990
_cell_length_c 3.990
_cell_angle_alpha 90.00
_cell_angle_beta 90.00
_cell_angle_gamma 90.00
loop_
_symmetry_equiv_pos_as_xyz
'x,y,z'
loop_
_atom_site_label
_atom_site_type_symbol
_atom_site_fract_x
_atom_site_fract_y
_atom_site_fract_z
C1 C 0.000 0.500 0.000
C2 C 0.000 0.000 0.500
C3 C 0.500 0.000 0.000
Mo1 Mo 0.000 0.000 0.000
Fe1 Fe 0.500 0.500 0.500
# **SG**: Pm-3m (221)
# **E**: -14.558 eV/atom



# Zr3Mn, single point on PBEsol structure, DFT SCAN
data_Zr3Mn
_chemical_formula_sum 'Zr3 Mn1'
_symmetry_space_group_name_H-M 'P 1'
_symmetry_Int_Tables_number 1
_cell_length_a 3.182
_cell_length_b 3.182
_cell_length_c 7.358
_cell_angle_alpha 90.00
_cell_angle_beta 90.00
_cell_angle_gamma 90.00
loop_
_symmetry_equiv_pos_as_xyz
'x,y,z'
loop_
_atom_site_label
_atom_site_type_symbol
_atom_site_fract_x
_atom_site_fract_y
_atom_site_fract_z
Zr1 Zr 0.500 0.500 0.208
Zr2 Zr 0.500 0.500 0.792
Zr3 Zr 0.000 0.000 0.500
Mn1 Mn 0.000 0.000 0.000
# **SG**: P4/mmm (123)
# **E**: -27.591 eV/atom



# Ag2TeBr2, single point on PBEsol structure, DFT SCAN
data_Ag2TeBr2
_chemical_formula_sum 'Ag2 Te1 Br2'
_symmetry_space_group_name_H-M 'P 1'
_symmetry_Int_Tables_number 1
_cell_length_a 4.765
_cell_length_b 4.765
_cell_length_c 6.418
_cell_angle_alpha 111.79
_cell_angle_beta 111.79
_cell_angle_gamma 90.00
loop_
_symmetry_equiv_pos_as_xyz
'x,y,z'
loop_
_atom_site_label
_atom_site_type_symbol
_atom_site_fract_x
_atom_site_fract_y
_atom_site_fract_z
Br1 Br 0.750 0.250 0.500
Te1 Te 0.000 0.000 0.000
Ag1 Ag 0.623 0.623 0.247
Br2 Br 0.250 0.750 0.500
Ag2 Ag 0.377 0.377 0.753
# **SG**: I4/mmm (139)
# **Formation energy (no corrections)**: 0.23 eV per atom



# Y2ScP, single point on PBEsol structure, DFT SCAN
data_Y2ScP
_chemical_formula_sum 'Y2 Sc1 P1'
_symmetry_space_group_name_H-M 'P 1'
_symmetry_Int_Tables_number 1
_cell_length_a 3.538
_cell_length_b 4.869
_cell_length_c 6.181
_cell_angle_alpha 113.19
_cell_angle_beta 106.63
_cell_angle_gamma 90.00
loop_
_symmetry_equiv_pos_as_xyz
'x,y,z'
loop_
_atom_site_label
_atom_site_type_symbol
_atom_site_fract_x
_atom_site_fract_y
_atom_site_fract_z
Y1 Y 0.998 0.498 0.996
Sc1 Sc 0.193 0.193 0.386
P1 P 0.509 0.009 0.018
Y2 Y 0.800 0.800 0.599
# **SG**: Imm2 (44)
# **E**: -20.759 eV/atom



# MnRu2Br, single point on PBEsol structure, DFT SCAN
data_MnRu2Br
_chemical_formula_sum 'Mn1 Ru2 Br1'
_symmetry_space_group_name_H-M 'P 1'
_symmetry_Int_Tables_number 1
_cell_length_a 4.310
_cell_length_b 4.310
_cell_length_c 4.310
_cell_angle_alpha 60.00
_cell_angle_beta 60.00
_cell_angle_gamma 60.00
loop_
_symmetry_equiv_pos_as_xyz
'x,y,z'
loop_
_atom_site_label
_atom_site_type_symbol
_atom_site_fract_x
_atom_site_fract_y
_atom_site_fract_z
Ru1 Ru 0.750 0.750 0.750
Ru2 Ru 0.250 0.250 0.250
Br1 Br 0.000 0.000 0.000
Mn1 Mn 0.500 0.500 0.500
# **ΔE to the lowest computed polymorph**: 132 meV/atom
# **SG**: Fm-3m (225)
# **Formation energy (no corrections)**: 0.80 eV per atom



# PrSn3, single point on PBEsol structure, DFT SCAN
data_PrSn3
_chemical_formula_sum 'Pr1 Sn3'
_symmetry_space_group_name_H-M 'P 1'
_symmetry_Int_Tables_number 1
_cell_length_a 4.704
_cell_length_b 4.704
_cell_length_c 4.704
_cell_angle_alpha 90.00
_cell_angle_beta 90.00
_cell_angle_gamma 90.00
loop_
_symmetry_equiv_pos_as_xyz
'x,y,z'
loop_
_atom_site_label
_atom_site_type_symbol
_atom_site_fract_x
_atom_site_fract_y
_atom_site_fract_z
Sn1 Sn 0.500 0.000 0.500
Pr1 Pr 0.000 0.000 0.000
Sn2 Sn 0.000 0.500 0.500
Sn3 Sn 0.500 0.500 0.000
# **SG**: Pm-3m (221)
# **E**: -38.330 eV/atom



# BaSrAg2, single point on PBEsol structure, DFT SCAN
data_BaSrAg2
_chemical_formula_sum 'Ba1 Sr1 Ag2'
_symmetry_space_group_name_H-M 'P 1'
_symmetry_Int_Tables_number 1
_cell_length_a 3.869
_cell_length_b 5.584
_cell_length_c 5.584
_cell_angle_alpha 90.00
_cell_angle_beta 90.00
_cell_angle_gamma 90.00
loop_
_symmetry_equiv_pos_as_xyz
'x,y,z'
loop_
_atom_site_label
_atom_site_type_symbol
_atom_site_fract_x
_atom_site_fract_y
_atom_site_fract_z
Ag1 Ag 0.000 0.000 0.500
Ba1 Ba 0.500 0.500 0.500
Ag2 Ag 0.000 0.500 0.000
Sr1 Sr 0.500 0.000 0.000
# **ΔE to the lowest computed polymorph**: 54 meV/atom
# **SG**: P4/mmm (123)



# BaAgPbAu2, single point on PBEsol structure, DFT SCAN
data_BaAgPbAu2
_chemical_formula_sum 'Ba1 Ag1 Pb1 Au2'
_symmetry_space_group_name_H-M 'P 1'
_symmetry_Int_Tables_number 1
_cell_length_a 5.205
_cell_length_b 5.205
_cell_length_c 5.194
_cell_angle_alpha 90.00
_cell_angle_beta 90.00
_cell_angle_gamma 90.00
loop_
_symmetry_equiv_pos_as_xyz
'x,y,z'
loop_
_atom_site_label
_atom_site_type_symbol
_atom_site_fract_x
_atom_site_fract_y
_atom_site_fract_z
Pb1 Pb 0.000 0.000 0.500
Ba1 Ba 0.500 0.500 0.500
Au1 Au 0.000 0.500 0.000
Au2 Au 0.500 0.000 0.000
Ag1 Ag 0.000 0.000 0.000
# **SG**: P4/mmm (123)
# **E**: -57.196 eV/atom



# KCuH3, single point on PBEsol structure, DFT SCAN
data_KCuH3
_chemical_formula_sum 'K2 Cu2 H6'
_symmetry_space_group_name_H-M 'P 1'
_symmetry_Int_Tables_number 1
_cell_length_a 5.279
_cell_length_b 5.279
_cell_length_c 5.279
_cell_angle_alpha 97.89
_cell_angle_beta 115.55
_cell_angle_gamma 115.55
loop_
_symmetry_equiv_pos_as_xyz
'x,y,z'
loop_
_atom_site_label
_atom_site_type_symbol
_atom_site_fract_x
_atom_site_fract_y
_atom_site_fract_z
K1 K 0.000 0.750 0.750
Cu1 Cu 0.500 0.500 0.000
H1 H 0.104 0.802 0.302
H2 H 0.500 0.698 0.802
H3 H 0.500 0.250 0.750
H4 H 0.896 0.198 0.698
H5 H 0.500 0.302 0.198
K2 K 0.000 0.250 0.250
H6 H 0.500 0.750 0.250
Cu2 Cu 0.500 0.000 0.500
# **ΔE to the lowest computed polymorph**: 0 meV/atom
# **SG**: I4/mcm (140)



# Li2TeSe3, single point on PBEsol structure, DFT SCAN
data_Li2TeSe3
_chemical_formula_sum 'Li8 Te4 Se12'
_symmetry_space_group_name_H-M 'P 1'
_symmetry_Int_Tables_number 1
_cell_length_a 5.537
_cell_length_b 8.034
_cell_length_c 11.819
_cell_angle_alpha 90.00
_cell_angle_beta 90.00
_cell_angle_gamma 92.02
loop_
_symmetry_equiv_pos_as_xyz
'x,y,z'
loop_
_atom_site_label
_atom_site_type_symbol
_atom_site_fract_x
_atom_site_fract_y
_atom_site_fract_z
Li1 Li 0.261 0.352 0.729
Se1 Se 0.256 0.125 0.907
Te1 Te 0.281 0.819 0.084
Se2 Se 0.231 0.116 0.249
Li2 Li 0.261 0.852 0.771
Te2 Te 0.719 0.681 0.584
Li3 Li 0.238 0.867 0.411
Se3 Se 0.746 0.384 0.079
Se4 Se 0.769 0.884 0.751
Se5 Se 0.231 0.616 0.251
Se6 Se 0.746 0.884 0.421
Li4 Li 0.739 0.148 0.229
Li5 Li 0.739 0.648 0.271
Li6 Li 0.762 0.133 0.589
Se7 Se 0.256 0.625 0.593
Li7 Li 0.762 0.633 0.911
Li8 Li 0.238 0.367 0.089
Se8 Se 0.254 0.116 0.579
Se9 Se 0.744 0.375 0.407
Se10 Se 0.769 0.384 0.749
Se11 Se 0.744 0.875 0.093
Te3 Te 0.281 0.319 0.416
Se12 Se 0.254 0.616 0.921
Te4 Te 0.719 0.181 0.916
# **SG**: P2_1/c (14)
# **Formation energy (no corrections)**: -0.73 eV per atom



Computed values of spin magnetization (unit: μB/f.u.) for the preceding records, in sequence: 2.48 0.00 3.28 0.00 1.99 0.00 4.90 0.00 0.00 0.00 0.00 0.00.